An optimized crystal structure of Ho6AlAg5, computed with PBE-GGA.

```
12
Lattice="4.840 -0.029 1.618 0.039 7.282 0.013 0.006 -0.015 8.076" Properties=species:S:1:pos:R:3 pbc="T T T"
Ho 4.064 5.438 4.052
Ho 4.045 1.787 4.046
Ho 2.430 1.824 0.812
Ho 2.449 5.429 0.819
Ho 0.840 5.452 5.661
Ho 0.821 1.801 5.655
Ag 3.258 3.612 6.451
Ag 1.648 -0.015 3.138
Ag 0.020 3.641 0.006
Ag 3.198 -0.029 6.556
Ag 1.627 3.627 3.256
Al 0.000 0.000 0.000
```

Computed properties:
Magnetization: 0.000 μB/atom
Fermi-level density of states: 7.24 states/eV/cell
Calculated formation energy: -0.336 eV/atom
VASP energy: -4.13 eV/atom